(1)
Density functional theory data (PBE) for a relaxed Er12Cu5Bi crystal.

Unit cell a=9.339 b=9.527 c=10.212 alpha=90.00 beta=90.00 gamma=90.00
Space group Immm (No. 71)
One atom of each set of equivalent atoms:
Er1 0.000 0.193 0.224
Er2 0.192 0.500 0.183
Er3 0.221 0.321 0.500
Cu1 0.000 0.000 0.000
Cu2 0.000 0.356 0.000
Cu3 0.000 0.500 0.381
Bi1 0.000 0.000 0.500

Computed properties:
DFT formation energy: -0.24 eV per atom

(2)
Density functional theory data (PBE) for a relaxed ErCuBi crystal.

Unit cell a=4.4009 b=4.4009 c=4.2388 alpha=90.00 beta=90.00 gamma=120.00
Space group P3m1 (No. 156)
One atom of each set of equivalent atoms:
Er1 0.0000 0.0000 0.0000
Cu1 0.3333 0.6667 0.6635
Bi1 0.6667 0.3333 0.4738

Computed properties:
DFT formation energy: -0.37 eV per atom

(3)
Density functional theory data (PBE) for a relaxed Er3Cu3Bi4 crystal.

Unit cell a=9.796 b=9.796 c=9.796 alpha=90.00 beta=90.00 gamma=90.00
Space group I-43d (No. 220)
One atom of each set of equivalent atoms:
Er1 0.000 0.250 0.875
Cu1 0.000 0.250 0.375
Bi1 0.083 0.417 0.583

Computed properties:
DFT formation energy: -0.47 eV per atom

(4)
Density functional theory data (PBE) for a relaxed ErCuBi crystal.

Unit cell a=3.453 b=4.355 c=10.275 alpha=89.33 beta=80.37 gamma=89.72
Space group P-1 (No. 2)
One atom of each set of equivalent atoms:
Er1 0.085 0.254 0.330
Cu1 0.468 0.248 0.564
Bi1 0.327 0.242 0.847

Computed properties:
DFT formation energy: -0.37 eV per atom

(5)
Density functional theory data (PBE) for a relaxed Er6CuBi2 crystal.

Unit cell a=6.384 b=7.937 c=11.923 alpha=90.00 beta=122.05 gamma=90.00
Space group P2_1/c (No. 14)
One atom of each set of equivalent atoms:
Er1 0.089 0.201 0.461
Er2 0.331 0.672 0.462
Er3 0.383 0.028 0.244
Cu1 0.500 0.000 0.500
Bi1 0.135 0.114 0.742

Computed properties:
DFT formation energy: -0.35 eV per atom

(6)
Density functional theory data (PBE) for a relaxed Sr2ErCu2Bi2O8 crystal.

Unit cell a=3.783 b=3.783 c=30.684 alpha=90.00 beta=90.00 gamma=90.00
Space group I4/mmm (No. 139)
One atom of each set of equivalent atoms:
Sr1 0.000 0.000 0.114
Er1 0.000 0.000 0.000
Cu1 0.000 0.000 0.449
Bi1 0.000 0.000 0.297
O1 0.000 0.000 0.200
O2 0.000 0.000 0.367
O3 0.000 0.500 0.047

Computed properties:
ΔE_f (raw): -1.791 eV per atom